LaY2Ag: optimized geometry, PBE-GGA.

Structure (POSCAR):
```
LaY2Ag
1.0
3.671 0.000 0.000
0.000 3.671 0.000
0.000 0.000 8.957
La Y Ag
1 2 1
Direct
0.000 0.000 0.000
0.000 0.000 0.571
0.500 0.500 0.295
0.500 0.500 0.764
```

Output
- DOS(E_F) (states/eV per atom) = 1.7038
- M_tot (μB/cell) = 0.00
- formation enthalpy at 0 K (eV per atom) = -0.11

LaY4Ag: optimized geometry, PBE-GGA.

Structure (POSCAR):
```
LaY4Ag
1.0
2.748 -10.671 0.000
2.748 10.671 0.000
0.000 0.000 6.549
La Y Ag
2 8 2
Direct
0.136 0.864 0.500
0.864 0.136 0.000
0.067 0.933 0.007
0.259 0.741 0.128
0.327 0.673 0.640
0.467 0.533 0.852
0.533 0.467 0.352
0.673 0.327 0.140
0.741 0.259 0.628
0.933 0.067 0.507
0.399 0.601 0.254
0.601 0.399 0.754
```

Output
- DOS(E_F) (states/eV per atom) = 1.6178
- M_tot (μB/cell) = 0.00
- formation enthalpy at 0 K (eV per atom) = 0.06

LaY2Ag: optimized geometry, PBE-GGA.

Structure (POSCAR):
```
LaY2Ag
1.0
3.747 0.000 0.000
0.000 5.595 0.000
0.000 0.000 11.510
La Y Ag
2 4 2
Direct
0.000 0.000 0.000
0.500 0.500 0.500
0.000 0.500 0.215
0.000 0.500 0.785
0.500 0.000 0.285
0.500 0.000 0.715
0.000 0.000 0.500
0.500 0.500 0.000
```

Output
- DOS(E_F) (states/eV per atom) = 1.4437
- M_tot (μB/cell) = 0.00
- formation enthalpy at 0 K (eV per atom) = -0.11

Question: Number 1 is which compound?
Answer: LaY2Ag